1.
Material: Na2Mn2AlS6
Method: DFT, PBE
State: relaxed

Cell: 5.997 5.997 7.037 Å, 98.29 98.29 120.47°
Last column: magnetic moment on the atom in μB.
Element x y z (fractional)
1 Mn 0.669 0.331 0.500  2.50
2 S 0.274 0.274 0.310  -0.03
3 S 0.726 0.726 0.690  -0.03
4 Mn 0.331 0.669 0.500  2.50
5 Na 0.835 0.165 0.000  0.00
6 S 0.594 0.935 0.307  -0.04
7 Na 0.165 0.835 0.000  0.00
8 S 0.406 0.065 0.693  -0.04
9 S 0.065 0.406 0.693  -0.04
10 Al 0.000 0.000 0.500  0.01
11 S 0.935 0.594 0.307  -0.04

## Properties
- SG = No. 12
- uncorrected formation energy (kJ per mole of atoms) = -83.9

=====

2.
Material: Na2Mn2AlSe6
Method: DFT, PBE
State: relaxed

Cell: 6.385 6.385 7.478 Å, 98.50 98.50 119.96°
Last column: magnetic moment on the atom in μB.
Element x y z (fractional)
1 Se 0.064 0.400 0.699  -0.06
2 Mn 0.332 0.668 0.500  3.48
3 Al 0.000 0.000 0.500  0.03
4 Se 0.600 0.936 0.301  -0.06
5 Se 0.266 0.266 0.304  -0.06
6 Se 0.400 0.064 0.699  -0.06
7 Se 0.936 0.600 0.301  -0.06
8 Na 0.168 0.832 0.000  0.01
9 Se 0.734 0.734 0.696  -0.06
10 Mn 0.668 0.332 0.500  3.48
11 Na 0.832 0.168 0.000  0.01

## Properties
- SG = No. 12
- uncorrected formation energy (kJ per mole of atoms) = -71.9

=====

3.
Material: Na3Mn3AlSe8
Method: DFT, PBE
State: relaxed

Cell: 7.409 7.413 8.295 Å, 116.52 90.00 119.98°
Last column: magnetic moment on the atom in μB.
Element x y z (fractional)
1 Al 0.000 0.000 0.500  0.03
2 Se 0.734 0.468 0.702  -0.05
3 Na 0.000 0.500 0.000  0.01
4 Na 0.500 0.500 0.000  0.01
5 Se 0.732 0.966 0.699  -0.06
6 Mn 0.500 0.500 0.500  3.57
7 Mn 0.500 0.000 0.500  3.57
8 Se 0.234 0.966 0.699  -0.06
9 Se 0.266 0.532 0.298  -0.05
10 Se 0.767 0.534 0.302  -0.06
11 Se 0.233 0.466 0.698  -0.06
12 Mn 0.000 0.500 0.500  3.57
13 Na 0.000 0.000 0.000  0.01
14 Se 0.268 0.034 0.301  -0.06
15 Se 0.766 0.034 0.301  -0.06

## Properties
- SG = No. 166
- uncorrected formation energy (kJ per mole of atoms) = -70.7

=====

4.
Material: NaMn2AlSe4
Method: DFT, PBE
State: relaxed

Cell: 6.826 7.111 8.782 Å, 90.00 90.00 90.00°
Last column: magnetic moment on the atom in μB.
Element x y z (fractional)
1 Al 0.501 0.815 0.500  0.03
2 Mn 0.498 0.330 0.746  4.30
3 Se 0.916 0.853 0.000  0.06
4 Al 0.001 0.185 0.000  0.03
5 Mn 0.498 0.330 0.254  4.30
6 Mn 0.998 0.670 0.246  4.30
7 Se 0.871 0.335 0.224  0.06
8 Se 0.371 0.665 0.724  0.06
9 Se 0.353 0.220 0.000  0.06
10 Se 0.416 0.147 0.500  0.06
11 Mn 0.998 0.670 0.754  4.30
12 Se 0.371 0.665 0.276  0.06
13 Na 0.993 0.160 0.500  0.01
14 Na 0.493 0.840 0.000  0.01
15 Se 0.871 0.335 0.776  0.06
16 Se 0.853 0.780 0.500  0.06

## Properties
- SG = No. 31
- uncorrected formation energy (kJ per mole of atoms) = -68.9

=====

5.
Material: Na4Mn3AlSe8
Method: DFT, PBE
State: relaxed

Cell: 7.578 8.222 7.579 Å, 117.46 120.00 90.00°
Last column: magnetic moment on the atom in μB.
Element x y z (fractional)
1 Na 0.000 0.000 0.000  0.01
2 Mn 0.500 0.500 0.000  3.79
3 Mn 0.000 0.500 0.500  3.79
4 Se 0.233 0.703 0.465  -0.04
5 Al 0.000 0.500 0.000  0.02
6 Na 0.000 0.000 0.500  0.01
7 Se 0.262 0.297 0.030  -0.04
8 Se 0.767 0.297 0.030  -0.04
9 Se 0.265 0.297 0.531  -0.04
10 Se 0.233 0.703 0.970  -0.04
11 Se 0.735 0.703 0.469  -0.04
12 Se 0.767 0.297 0.535  -0.04
13 Na 0.500 0.000 0.500  0.01
14 Mn 0.500 0.500 0.500  3.79
15 Se 0.738 0.703 0.970  -0.04
16 Na 0.500 0.000 0.000  0.00

## Properties
- SG = No. 166
- uncorrected formation energy (kJ per mole of atoms) = -75.6

=====

6.
Material: Na2MnAlTe4
Method: DFT, PBE
State: relaxed

Cell: 7.543 7.542 7.011 Å, 122.60 122.63 89.90°
Last column: magnetic moment on the atom in μB.
Element x y z (fractional)
1 Na 0.236 0.236 0.473  0.00
2 Te 0.034 0.104 0.686  -0.03
3 Te 0.889 0.437 0.256  -0.03
4 Te 0.653 0.582 0.686  -0.03
5 Mn 0.736 0.736 0.472  3.70
6 Al 0.986 0.486 0.971  0.01
7 Te 0.367 0.818 0.256  -0.03
8 Na 0.487 0.987 0.974  0.00

## Properties
- SG = No. 5
- uncorrected formation energy (kJ per mole of atoms) = -49.8

=====

7.
Material: NaTiMn2Al
Method: DFT, PBE
State: relaxed

Cell: 4.699 4.856 4.699 Å, 90.00 90.00 90.00°
Last column: magnetic moment on the atom in μB.
Element x y z (fractional)
1 Mn 0.500 0.000 0.000  3.34
2 Na 0.000 0.500 0.000  -0.03
3 Mn 0.000 0.000 0.500  3.54
4 Ti 0.500 0.500 0.500  -1.74
5 Al 0.000 0.000 0.000  -0.08

## Properties
- SG = No. 123
- ΔH_f (0 K) (meV/atom) = 1087

=====

8.
Material: MnNb3Al
Method: DFT, PBE
State: relaxed

Cell: 4.662 4.662 4.662 Å, 90.00 90.00 90.00°
Last column: magnetic moment on the atom in μB.
Element x y z (fractional)
1 Nb 0.000 0.000 0.500  -0.10
2 Nb 0.000 0.500 0.000  -0.15
3 Mn 0.500 0.500 0.500  -0.16
4 Al 0.000 0.000 0.000  0.00
5 Nb 0.500 0.000 0.000  -0.18

## Properties
- SG = No. 221
- distance to the lowest polymorph of the same formula (eV per atom) = 1.004
- ΔH_f (0 K) (meV/atom) = 1591

=====

| no. | electronic total energy (eV per cell) |
| --- | --- |
| 1 | -59.1 |
| 2 | -53.8 |
| 3 | -74.1 |
| 4 | -86.1 |
| 5 | -76.9 |
| 6 | -32.2 |
| 7 | -25.9 |
| 8 | -35.2 |